# 1
LaTaIn2 (PBE, relaxed); symmetry = Pmmm (47)
1.0
3.1543 0.0000 0.0000
0.0000 4.4002 0.0000
0.0000 0.0000 6.9838
La Ta In
1 1 2
Direct
0.0000 0.0000 0.0000
0.0000 0.0000 0.5000
0.5000 0.5000 0.2903
0.5000 0.5000 0.7097

# 2
Nd2DyTl4 (PBE, relaxed); symmetry = I4/mmm (139)
1.0
-3.7103 3.7103 4.0470
3.7103 -3.7103 4.0470
3.7103 3.7103 -4.0470
Nd Dy Tl
2 1 4
Direct
0.0000 0.5000 0.5000
0.5000 0.0000 0.5000
0.0000 0.0000 0.0000
0.0000 0.0000 0.5000
0.0000 0.5000 0.0000
0.5000 0.0000 0.0000
0.5000 0.5000 0.5000

# 3
Sc3Cu (PBE, relaxed); symmetry = Pmmn (59)
1.0
4.7057 0.0000 0.0000
0.0000 6.1888 0.0000
0.0000 0.0000 5.6305
Sc Cu
6 2
Direct
0.2500 0.0073 0.1593
0.2500 0.2500 0.6196
0.2500 0.4927 0.1593
0.7500 0.5073 0.8407
0.7500 0.7500 0.3804
0.7500 0.9927 0.8407
0.2500 0.7500 0.6741
0.7500 0.2500 0.3259

# 4
Dy5Er7 (PBE, relaxed); symmetry = C2/m (12)
1.0
9.1625 -1.7625 0.0000
9.1625 1.7625 0.0000
-6.1090 0.0000 11.3885
Dy Er
5 7
Direct
0.0000 0.0000 0.0000
0.1664 0.1664 0.4995
0.3055 0.3055 0.2497
0.6945 0.6945 0.7503
0.8336 0.8336 0.5005
0.0277 0.0277 0.7501
0.3336 0.3336 0.0009
0.3614 0.3614 0.7503
0.5000 0.5000 0.5000
0.6386 0.6386 0.2497
0.6664 0.6664 0.9991
0.9723 0.9723 0.2499

# 5
Rb4Ac3NpS8 (PBE, relaxed); E_form (uncorrected) = -1.730 eV/atom; symmetry = R-3m (166)
1.0
4.3934 2.5365 7.7240
-4.3934 2.5365 7.7240
0.0000 -5.0731 7.7240
Rb Ac Np S
4 3 1 8
Direct
0.0000 0.0000 0.0000
0.0000 0.5000 0.5000
0.5000 0.0000 0.5000
0.5000 0.5000 0.0000
0.0000 0.0000 0.5000
0.0000 0.5000 0.0000
0.5000 0.0000 0.0000
0.5000 0.5000 0.5000
0.2354 0.2354 0.2354
0.2463 0.7259 0.7259
0.2741 0.2741 0.7537
0.2741 0.7537 0.2741
0.7259 0.2463 0.7259
0.7259 0.7259 0.2463
0.7537 0.2741 0.2741
0.7646 0.7646 0.7646

# 6
Sc2TcN (PBE, relaxed); E_form (uncorrected) = -0.577 eV/atom; symmetry = R-3m (166)
1.0
1.5371 0.8874 7.6149
-1.5371 0.8874 7.6149
0.0000 -1.7749 7.6149
Sc Tc N
2 1 1
Direct
0.1108 0.1108 0.1108
0.8892 0.8892 0.8892
0.0000 0.0000 0.0000
0.5000 0.5000 0.5000

# 7
SiSb (PBE, relaxed); E_form (uncorrected) = 0.338 eV/atom; symmetry = P-3m1 (164)
1.0
3.7019 0.0000 0.0000
-1.8509 3.2059 0.0000
0.0000 0.0000 7.5967
Si Sb
2 2
Direct
0.3333 0.6667 0.0791
0.6667 0.3333 0.9209
0.3333 0.6667 0.6541
0.6667 0.3333 0.3459

# 8
Rb2OsF2 (PBE, relaxed); E_form (uncorrected) = -0.513 eV/atom; symmetry = P4/mbm (127)
1.0
8.5556 0.0000 0.0000
0.0000 8.5556 0.0000
0.0000 0.0000 3.0043
Rb Os F
4 2 4
Direct
0.1423 0.3577 0.0000
0.3577 0.8577 0.0000
0.6423 0.1423 0.0000
0.8577 0.6423 0.0000
0.0000 0.0000 0.0000
0.5000 0.5000 0.0000
0.1447 0.6447 0.5000
0.3553 0.1447 0.5000
0.6447 0.8553 0.5000
0.8553 0.3553 0.5000

# 9
Ac4LaSn2 (PBE, relaxed); symmetry = P2_1/m (11)
1.0
8.7106 0.0000 0.0000
0.0000 7.1476 0.0000
-3.8807 0.0000 8.6560
Ac La Sn
8 2 4
Direct
0.0334 0.2500 0.4954
0.1823 0.5054 0.2157
0.1823 0.9946 0.2157
0.3409 0.2500 0.9083
0.6590 0.7500 0.0917
0.8177 0.0054 0.7843
0.8177 0.4946 0.7843
0.9666 0.7500 0.5046
0.3879 0.7500 0.6359
0.6121 0.2500 0.3641
0.2153 0.7500 0.9000
0.4354 0.2500 0.5977
0.5646 0.7500 0.4023
0.7847 0.2500 0.1000

# 10
PrZn2Ni2Ge (PBE, relaxed); symmetry = P4/mmm (123)
1.0
4.3991 0.0000 0.0000
0.0000 4.3991 0.0000
0.0000 0.0000 5.7356
Pr Zn Ni Ge
1 2 2 1
Direct
0.0000 0.0000 0.0000
0.5000 0.5000 0.2471
0.5000 0.5000 0.7529
0.0000 0.5000 0.5000
0.5000 0.0000 0.5000
0.0000 0.0000 0.5000

| no. | N(E_F) (states/eV per cell) | electronic total energy (eV per atom) |
| --- | --- | --- |
| 1 | 3.8 | -5.564 |
| 2 | 7.3 | -3.602 |
| 3 | 10.5 | -5.755 |
| 4 | 16.6 | -4.575 |
| 5 | 4.2 | -5.614 |
| 6 | 2.5 | -8.416 |
| 7 | 1.5 | -4.435 |
| 8 | 4.6 | -3.894 |
| 9 | 16.2 | -4.559 |
| 10 | 4.7 | -4.132 |